An optimized crystal structure of Pa3Tl4MoO12, computed with PBE with a Hubbard U.

Results
Its electronic total energy is -7.5744 eV/atom. As for the volume: 323.3 Å³/cell. As for the symmetry: Im-3m (229).

Lattice parameters (Å, degrees): 7.4890 7.4890 7.4890 109.47 109.47 109.47
With the nearest neighbours (Å) after each atom.
Sites, in units of the cell vectors:
Pa1 0.5000 0.0000 0.5000  6 O 2.16-2.27
Pa2 0.5000 0.5000 0.0000  6 O 2.16-2.27
Pa3 0.0000 0.5000 0.5000  6 O 2.16-2.27
Tl1 0.5000 0.5000 0.5000  12 O 3.06
Tl2 0.0000 0.0000 0.5000  12 O 3.06
Tl3 0.5000 0.0000 0.0000  12 O 3.06
Tl4 0.0000 0.5000 0.0000  12 O 3.06
Mo1 0.0000 0.0000 0.0000  6 O 2.06
O1 0.2500 0.5000 0.7500  2 Pa 2.16
O2 0.7623 0.0000 0.7623  1 Mo 2.06, 1 Pa 2.27
O3 0.2377 0.0000 0.2377  1 Mo 2.06, 1 Pa 2.27
O4 0.7500 0.5000 0.2500  2 Pa 2.16
O5 0.7623 0.7623 0.0000  1 Mo 2.06, 1 Pa 2.27
O6 0.2377 0.2377 0.0000  1 Mo 2.06, 1 Pa 2.27
O7 0.7500 0.2500 0.5000  2 Pa 2.16
O8 0.2500 0.7500 0.5000  2 Pa 2.16
O9 0.5000 0.2500 0.7500  2 Pa 2.16
O10 0.0000 0.7623 0.7623  1 Mo 2.06, 1 Pa 2.27
O11 0.5000 0.7500 0.2500  2 Pa 2.16
O12 0.0000 0.2377 0.2377  1 Mo 2.06, 1 Pa 2.27